First-principles (PBE) data for a relaxed Ho3Mg3AgHgPt crystal, as listed in OQMD via LeMat-Bulk.

abc: 7.801 7.801 3.934
angles: 90.00 90.00 120.00
Positions (direct):
Ag: 0.000 0.000 0.500
Hg: 0.667 0.333 0.000
Ho: 0.029 0.428 0.500
Ho: 0.572 0.602 0.500
Ho: 0.398 0.971 0.500
Mg: 0.750 0.004 0.000
Mg: 0.254 0.250 0.000
Mg: 0.996 0.746 0.000
Pt: 0.333 0.667 0.000

## Properties
- Symmetry: P-6 (174)
- Calculated total energy: -3.631 eV/atom